Record 1
Li8Cd2Hg, relaxed, DFT GGA-PBE; ΔH_f (0 K) = -20.7 kJ per mole of atoms; V = 18.14 Å³ per atom; E_tot = -1.7998 eV per atom; energy relative to the lowest polymorph listed for this composition = 0.0 meV/atom; crystal system = monoclinic
1.0
7.459 -2.221 0.000
7.459 2.221 0.000
-1.327 0.000 6.023
Li Cd Hg
8 2 1
Direct
0.040 0.040 0.238
0.142 0.142 0.675
0.323 0.323 0.595
0.405 0.405 0.053
0.595 0.595 0.947
0.677 0.677 0.405
0.858 0.858 0.325
0.960 0.960 0.762
0.219 0.219 0.142
0.781 0.781 0.858
0.500 0.500 0.500

Record 2
Li2Cd5Hg12, relaxed, DFT GGA-PBE; ΔH_f (0 K) = -5.4 kJ per mole of atoms; V = 24.22 Å³ per atom; E_tot = -0.6887 eV per atom; energy relative to the lowest polymorph listed for this composition = 9.5 meV/atom; crystal system = monoclinic
1.0
6.752 -4.613 0.000
6.752 4.613 0.000
-0.123 0.000 7.386
Li Cd Hg
2 5 12
Direct
0.219 0.781 0.000
0.781 0.219 0.000
0.176 0.176 0.059
0.255 0.255 0.535
0.500 0.500 0.500
0.745 0.745 0.465
0.824 0.824 0.941
0.046 0.046 0.714
0.120 0.546 0.219
0.122 0.655 0.647
0.345 0.878 0.353
0.395 0.395 0.910
0.454 0.880 0.781
0.546 0.120 0.219
0.605 0.605 0.090
0.655 0.122 0.647
0.878 0.345 0.353
0.880 0.454 0.781
0.954 0.954 0.286

Record 3
LiCd5Hg, relaxed, DFT GGA-PBE; ΔH_f (0 K) = -3.0 kJ per mole of atoms; V = 23.49 Å³ per atom; E_tot = -1.0016 eV per atom; energy relative to the lowest polymorph listed for this composition = 0.0 meV/atom; crystal system = monoclinic
1.0
5.326 -4.211 0.000
5.326 4.211 0.000
-2.753 0.000 7.332
Li Cd Hg
2 10 2
Direct
0.000 0.500 0.000
0.500 0.000 0.500
0.087 0.913 0.250
0.119 0.288 0.565
0.288 0.119 0.065
0.302 0.500 0.357
0.500 0.302 0.857
0.500 0.698 0.143
0.698 0.500 0.643
0.712 0.881 0.935
0.881 0.712 0.435
0.913 0.087 0.750
0.273 0.727 0.750
0.727 0.273 0.250

Record 4
Li12Cd2Hg, relaxed, DFT GGA-PBE; ΔH_f (0 K) = -0.1 kJ per mole of atoms; V = 20.02 Å³ per atom; E_tot = -1.6738 eV per atom; crystal system = tetragonal
1.0
5.518 0.000 0.000
0.000 5.518 0.000
0.000 0.000 19.722
Li Cd Hg
24 4 2
Direct
0.000 0.000 0.101
0.000 0.000 0.899
0.000 0.500 0.101
0.000 0.500 0.899
0.072 0.572 0.437
0.072 0.928 0.563
0.250 0.250 0.213
0.250 0.250 0.340
0.250 0.250 0.660
0.250 0.250 0.787
0.428 0.572 0.563
0.428 0.928 0.437
0.500 0.000 0.101
0.500 0.000 0.899
0.500 0.500 0.101
0.500 0.500 0.899
0.572 0.072 0.563
0.572 0.428 0.437
0.750 0.750 0.213
0.750 0.750 0.340
0.750 0.750 0.660
0.750 0.750 0.787
0.928 0.072 0.437
0.928 0.428 0.563
0.250 0.750 0.286
0.250 0.750 0.714
0.750 0.250 0.286
0.750 0.250 0.714
0.250 0.750 0.000
0.750 0.250 0.000

Record 5
LiCd2Hg6, relaxed, DFT GGA-PBE; ΔH_f (0 K) = -5.7 kJ per mole of atoms; V = 24.75 Å³ per atom; E_tot = -0.6767 eV per atom; crystal system = monoclinic
1.0
8.210 -4.046 0.000
8.210 4.046 0.000
-0.577 0.000 3.353
Li Cd Hg
1 2 6
Direct
0.000 0.000 0.000
0.328 0.328 0.344
0.672 0.672 0.656
0.023 0.657 0.854
0.310 0.690 0.500
0.343 0.977 0.146
0.657 0.023 0.854
0.690 0.310 0.500
0.977 0.343 0.146

Record 6
Li2Cd8Hg, relaxed, DFT GGA-PBE; ΔH_f (0 K) = -2.3 kJ per mole of atoms; V = 23.61 Å³ per atom; E_tot = -1.0647 eV per atom; energy relative to the lowest polymorph listed for this composition = 70.4 meV/atom; crystal system = monoclinic
1.0
6.528 -3.920 0.000
6.528 3.920 0.000
-1.329 0.000 5.075
Li Cd Hg
2 8 1
Direct
0.114 0.114 0.028
0.886 0.886 0.972
0.228 0.228 0.593
0.246 0.627 0.721
0.342 0.342 0.164
0.373 0.754 0.279
0.627 0.246 0.721
0.658 0.658 0.836
0.754 0.373 0.279
0.772 0.772 0.407
0.000 0.000 0.500

Record 7
LiCd2Hg4, relaxed, DFT GGA-PBE; ΔH_f (0 K) = -7.9 kJ per mole of atoms; V = 23.31 Å³ per atom; E_tot = -0.7892 eV per atom; energy relative to the lowest polymorph listed for this composition = 0.0 meV/atom; crystal system = monoclinic
1.0
6.935 0.000 0.000
0.000 3.380 0.000
-3.323 0.000 6.961
Li Cd Hg
1 2 4
Direct
0.000 0.000 0.000
0.402 0.500 0.254
0.598 0.500 0.746
0.203 0.000 0.466
0.211 0.500 0.831
0.789 0.500 0.169
0.797 0.000 0.534

Record 8
Li5CdHg3, relaxed, DFT GGA-PBE; ΔH_f (0 K) = -29.8 kJ per mole of atoms; V = 18.69 Å³ per atom; E_tot = -1.5749 eV per atom; crystal system = hexagonal
1.0
8.165 0.000 0.000
-4.083 7.071 0.000
0.000 0.000 5.825
Li Cd Hg
10 2 6
Direct
0.000 0.318 0.250
0.000 0.682 0.750
0.318 0.000 0.250
0.318 0.318 0.750
0.333 0.667 0.000
0.333 0.667 0.500
0.667 0.333 0.000
0.667 0.333 0.500
0.682 0.000 0.750
0.682 0.682 0.250
0.000 0.000 0.000
0.000 0.000 0.500
0.000 0.356 0.750
0.000 0.644 0.250
0.356 0.000 0.750
0.356 0.356 0.250
0.644 0.000 0.250
0.644 0.644 0.750